[1]
# ReAuO2F (PBE-GGA, optimized geometry)
# Formation energy (no corrections) in meV/atom: -695
# ρ in Mg/m³: 10.87
# Magnetic moment in μB per formula unit: 0.00
# Crystal system: tetragonal
# VASP energy in eV per cell: -31.0
data_ReAuO2F
_symmetry_space_group_name_H-M 'P 1'
_symmetry_Int_Tables_number 1
_symmetry_space_group_name_Hall 'P 1'
_cell_length_a 3.829
_cell_length_b 3.829
_cell_length_c 4.526
_cell_angle_alpha 90.00
_cell_angle_beta 90.00
_cell_angle_gamma 90.00
loop_
_atom_site_label
_atom_site_fract_x
_atom_site_fract_y
_atom_site_fract_z
_atom_site_occupancy
F1 0.000 0.000 0.500 1
Re1 0.000 0.000 0.000 1
O1 0.500 0.000 0.000 1
Au1 0.500 0.500 0.500 1
O2 0.000 0.500 0.000 1



[2]
# Ce2BPt6 (PBE-GGA, optimized geometry)
# ρ in Mg/m³: 15.51
# Magnetic moment in μB per formula unit: 0.64
# Formation energy in eV/atom: -0.857
# Crystal system: trigonal
# VASP energy in eV per cell: -62.5
data_Ce2BPt6
_symmetry_space_group_name_H-M 'P 1'
_symmetry_Int_Tables_number 1
_symmetry_space_group_name_Hall 'P 1'
_cell_length_a 5.786
_cell_length_b 5.786
_cell_length_c 5.399
_cell_angle_alpha 89.97
_cell_angle_beta 90.00
_cell_angle_gamma 120.00
loop_
_atom_site_label
_atom_site_fract_x
_atom_site_fract_y
_atom_site_fract_z
_atom_site_occupancy
B1 0.000 0.000 0.000 1
Pt1 0.168 0.833 0.271 1
Pt2 0.832 0.167 0.729 1
Pt3 0.335 0.167 0.729 1
Ce1 0.667 0.334 0.213 1
Pt4 0.168 0.336 0.271 1
Pt5 0.832 0.664 0.729 1
Ce2 0.333 0.666 0.787 1
Pt6 0.665 0.833 0.271 1